# 1
# CuPH2S4

CuPH2S4 after structural relaxation (PBE, Alexandria).

Unit cell a=5.514 b=5.673 c=6.125 alpha=115.49 beta=115.05 gamma=91.57
Space group P1 (No. 1)
Unique sites:
Cu  0.000  0.000  0.000 [1 per cell]
P  0.773  0.238  0.503 [1 per cell]
H  0.349  0.964  0.481 [1 per cell]
H  0.659  0.511  0.910 [1 per cell]
S  0.092  0.151  0.746 [1 per cell]
S  0.396  0.914  0.265 [1 per cell]
S  0.661  0.590  0.729 [1 per cell]
S  0.827  0.316  0.236 [1 per cell]

# 2
# Cu2SbPH

Cu2SbPH after structural relaxation (PBE, Alexandria).

Unit cell a=4.226 b=4.226 c=5.634 alpha=90.00 beta=90.00 gamma=90.00
Space group P4/mmm (No. 123)
Unique sites:
Cu  0.000  0.500  0.000 [2 per cell]
Sb  0.000  0.000  0.500 [1 per cell]
P  0.000  0.000  0.000 [1 per cell]
H  0.500  0.500  0.500 [1 per cell]

# 3
# ScCuPH

ScCuPH after structural relaxation (PBE, Alexandria).

Unit cell a=3.590 b=3.590 c=7.556 alpha=90.00 beta=90.00 gamma=90.00
Space group P4/nmm (No. 129, origin choice 2)
Unique sites:
Sc  0.250  0.250  0.161 [2 per cell]
Cu  0.250  0.750  0.500 [2 per cell]
P  0.250  0.250  0.709 [2 per cell]
H  0.250  0.750  0.000 [2 per cell]

# 4
# Cu2PHSe4

Cu2PHSe4 after structural relaxation (PBE, Alexandria).

Unit cell a=5.368 b=5.468 c=6.719 alpha=113.32 beta=112.97 gamma=91.11
Space group P1 (No. 1)
Unique sites:
Cu  0.000  0.000  0.000 [1 per cell]
Cu  0.207  0.730  0.468 [1 per cell]
P  0.730  0.203  0.461 [1 per cell]
H  0.504  0.455  0.811 [1 per cell]
Se  0.103  0.132  0.729 [1 per cell]
Se  0.376  0.843  0.220 [1 per cell]
Se  0.616  0.606  0.707 [1 per cell]
Se  0.818  0.347  0.220 [1 per cell]

Number 1: total magnetization 0.0 μB per formula unit, total DFT energy (no corrections) -0.157 Ha/atom. Number 2: total magnetization 0.0 μB per formula unit, total DFT energy (no corrections) -0.131 Ha/atom. Number 3: total magnetization 0.0 μB per formula unit, total DFT energy (no corrections) -0.203 Ha/atom. Number 4: total magnetization 0.0 μB per formula unit, total DFT energy (no corrections) -0.145 Ha/atom.